The following is a PBE-GGA calculation of crystalline In2FeAu at its relaxed geometry, from Alexandria.

Values from the calculation:
Formation energy from the elements in eV/f.u.: 0.62
ΔE to the lowest computed polymorph in eV/f.u.: 0.26

a = 4.424 Å, b = 4.424 Å, c = 3.808 Å
α = 90.00°, β = 90.00°, γ = 90.00°
Space group P4/mmm (No. 123)
Inequivalent atoms, fractional coordinates:
In (0.000, 0.500, 0.000) [2 per cell]
Fe (0.000, 0.000, 0.500) [1 per cell]
Au (0.500, 0.500, 0.500) [1 per cell]

The following is a PBE-GGA calculation of crystalline BaSiBr2 at its relaxed geometry, from Alexandria.

Values from the calculation:
ΔE_f (raw) in meV per atom: -682
ΔE to the lowest computed polymorph in eV/f.u.: 0.68

a = 5.149 Å, b = 5.149 Å, c = 4.419 Å
α = 90.00°, β = 90.00°, γ = 90.00°
Space group P4/mmm (No. 123)
Inequivalent atoms, fractional coordinates:
Ba (0.000, 0.000, 0.000) [1 per cell]
Si (0.500, 0.500, 0.000) [1 per cell]
Br (0.000, 0.500, 0.500) [2 per cell]

The following is a PBE-GGA calculation of crystalline Th8P3CSe4 at its relaxed geometry, from Alexandria.

Values from the calculation:
ΔE_f (raw) in meV per atom: -1452

a = 8.1879 Å, b = 8.1879 Å, c = 20.7562 Å
α = 90.00°, β = 90.00°, γ = 120.00°
Space group R-3m (No. 166, hexagonal axes)
Inequivalent atoms, fractional coordinates:
Th (0.0000, 0.0000, 0.2435) [6 per cell]
Th (0.0182, 0.5091, 0.2394) [18 per cell]
P (0.0000, 0.5000, 0.5000) [9 per cell]
C (0.0000, 0.0000, 0.5000) [3 per cell]
Se (0.0000, 0.0000, 0.0000) [3 per cell]
Se (0.0000, 0.5000, 0.0000) [9 per cell]

The following is a PBE-GGA calculation of crystalline PrCo3SiB at its relaxed geometry, from Alexandria.

Values from the calculation:
ΔE_f (raw) in meV per atom: -347

a = 5.438 Å, b = 11.178 Å, c = 5.545 Å
α = 90.00°, β = 90.00°, γ = 90.00°
Space group Cmcm (No. 63)
Inequivalent atoms, fractional coordinates:
Pr (0.000, 0.243, 0.250) [4 per cell]
Co (0.000, 0.316, 0.750) [4 per cell]
Co (0.248, 0.500, 0.000) [8 per cell]
Si (0.000, 0.114, 0.750) [4 per cell]
B (0.000, 0.490, 0.750) [4 per cell]

The following is a PBE-GGA calculation of crystalline HfHgI2O at its relaxed geometry, from Alexandria.

Values from the calculation:
ΔE_f (raw) in meV per atom: 521
ΔE to the lowest computed polymorph in eV/f.u.: 8.43

a = 6.012 Å, b = 6.012 Å, c = 3.944 Å
α = 90.00°, β = 90.00°, γ = 90.00°
Space group P4/mmm (No. 123)
Inequivalent atoms, fractional coordinates:
Hf (0.000, 0.000, 0.000) [1 per cell]
Hg (0.500, 0.500, 0.500) [1 per cell]
I (0.000, 0.500, 0.500) [2 per cell]
O (0.500, 0.500, 0.000) [1 per cell]

The following is a PBE-GGA calculation of crystalline Tb7TmAl4 at its relaxed geometry, from Alexandria.

Values from the calculation:
Formation energy from the elements in eV/f.u.: -0.66

a = 13.897 Å, b = 5.498 Å, c = 10.402 Å
α = 90.00°, β = 124.44°, γ = 90.00°
Space group C2/m (No. 12)
Inequivalent atoms, fractional coordinates:
Tb (0.000, 0.000, 0.000) [2 per cell]
Tb (0.065, 0.500, 0.389) [4 per cell]
Tb (0.206, 0.000, 0.650) [4 per cell]
Tb (0.210, 0.500, 0.879) [4 per cell]
Tm (0.000, 0.500, 0.000) [2 per cell]
Al (0.054, 0.000, 0.761) [4 per cell]
Al (0.176, 0.000, 0.333) [4 per cell]

How do the records compare in V? In the order shown, they have 18.63 29.29 25.11 14.04 28.52 27.31 A^3/atom.